# Ac3CePr2Te6, optimized geometry, DFT PBE
# - Calculated total energy: -5.34 eV/atom
# - SG: C2/m (12)
# - Uncorrected formation energy: -1451 meV per atom
# - D(E_F): 1.1072 states/eV per atom
data_Ac3CePr2Te6
_symmetry_space_group_name_H-M 'P 1'
_symmetry_Int_Tables_number 1
_cell_length_a 10.350
_cell_length_b 10.350
_cell_length_c 9.322
_cell_angle_alpha 103.15
_cell_angle_beta 103.15
_cell_angle_gamma 25.68
loop_
_symmetry_equiv_pos_as_xyz
'x,y,z'
loop_
_atom_site_label
_atom_site_type_symbol
_atom_site_fract_x
_atom_site_fract_y
_atom_site_fract_z
Ac1 Ac 0.000 0.000 0.000
Ac2 Ac 0.333 0.333 0.667
Ac3 Ac 0.667 0.667 0.333
Ce1 Ce 0.000 0.000 0.500
Pr1 Pr 0.333 0.333 0.167
Pr2 Pr 0.667 0.667 0.833
Te1 Te 0.163 0.163 0.589
Te2 Te 0.169 0.169 0.076
Te3 Te 0.497 0.497 0.258
Te4 Te 0.503 0.503 0.742
Te5 Te 0.831 0.831 0.924
Te6 Te 0.837 0.837 0.411